[1]
First-principles (GGA-PBE) data for a relaxed NpTaFe crystal, as listed in OQMD via LeMat-Bulk.

Output
Distance to the lowest polymorph of the same formula: 0.0000 eV per atom
Space group: F-43m (216)
ΔE_f: 0.5628 eV per atom

Structure (extended XYZ):
```
3
Lattice="-1.9593 -2.7145 2.6413 -4.2155 0.2640 0.5865 -2.5644 -3.0245 -1.5684" Properties=species:S:1:pos:R:3 pbc="T T T"
Fe 0.0000 0.0000 0.0000
Np -6.5544 -4.1062 1.2446
Ta -2.1848 -1.3687 0.4149
```

=====

[2]
First-principles (GGA-PBE) data for a relaxed ScNbAl crystal, as listed in OQMD via LeMat-Bulk.

Output
Distance to the lowest polymorph of the same formula: 0.0000 eV per atom
Space group: F-43m (216)

Structure (extended XYZ):
```
3
Lattice="0.0000 3.1916 3.1916 3.1916 0.0000 3.1916 3.1916 3.1916 0.0000" Properties=species:S:1:pos:R:3 pbc="T T T"
Al 0.0000 0.0000 0.0000
Nb 1.5958 1.5958 1.5958
Sc 4.7874 4.7874 4.7874
```

=====

[3]
First-principles (GGA-PBE) data for a relaxed As2Pd3S8 crystal, as listed in OQMD via LeMat-Bulk.

Output
Final energy: -59.972 eV for the cell shown
Space group: P-3m1 (164)

Structure (extended XYZ):
```
13
Lattice="7.0964 0.0000 0.0000 -3.5482 6.1457 0.0000 0.0000 0.0000 7.5988" Properties=species:S:1:pos:R:3 pbc="T T T"
As 3.5482 2.0486 2.5481
As 0.0000 4.0971 5.0507
Pd 3.5482 0.0000 0.0000
Pd -1.7741 3.0729 0.0000
Pd 1.7741 3.0729 0.0000
S 1.8980 1.0958 1.2881
S 5.1985 1.0958 1.2881
S 3.5482 3.9541 1.2881
S 0.0000 4.0971 2.9915
S 3.5482 2.0486 4.6073
S 0.0000 2.1916 6.3107
S -1.6503 5.0499 6.3107
S 1.6503 5.0499 6.3107
```

=====

| no. | V (Å³ per cell) |
| --- | --- |
| 1 | 54.83 |
| 2 | 65.02 |
| 3 | 331.40 |